# LiTeP3

A geometry-optimized LiTeP3 structure (GGA-PBEsol, the Alexandria database).

Unit cell a=4.411 b=4.411 c=4.411 alpha=90.00 beta=90.00 gamma=90.00
Positions (direct):
1 P 0.000 0.500 0.000
2 P 0.000 0.000 0.500
3 P 0.500 0.000 0.000
4 Te 0.500 0.500 0.500
5 Li 0.000 0.000 0.000

Properties
**Total magnetic moment**: 0.0 μB per cell
**Formation energy without anion corrections**: 748.6 meV per atom
**Total energy**: -19.12 eV/cell

***

# LiTe2P

A geometry-optimized LiTe2P structure (GGA-PBEsol, the Alexandria database).

Unit cell a=3.970 b=3.970 c=7.177 alpha=73.95 beta=73.95 gamma=60.00
Positions (direct):
1 P 0.000 0.000 0.000
2 Te 0.257 0.257 0.229
3 Te 0.743 0.743 0.771
4 Li 0.500 0.500 0.500

Properties
**Total magnetic moment**: 0.0 μB per cell
**Formation energy without anion corrections**: -250.3 meV per atom
**Total energy**: -15.81 eV/cell

***

# LiTeP2

A geometry-optimized LiTeP2 structure (GGA-PBEsol, the Alexandria database).

Unit cell a=3.030 b=3.030 c=9.008 alpha=80.32 beta=80.32 gamma=60.00
Positions (direct):
1 P 0.740 0.740 0.779
2 P 0.260 0.260 0.221
3 Li 0.000 0.000 0.000
4 Te 0.500 0.500 0.500

Properties
**Total magnetic moment**: 0.0 μB per cell
**Formation energy without anion corrections**: 390.4 meV per atom
**Total energy**: -15.51 eV/cell

***

# LiTeP2

A geometry-optimized LiTeP2 structure (GGA-PBEsol, the Alexandria database).

Unit cell a=5.709 b=5.709 c=7.154 alpha=113.51 beta=113.51 gamma=90.00
Positions (direct):
1 P 0.125 0.149 0.750
2 P 0.625 0.601 0.750
3 P 0.851 0.375 0.250
4 P 0.399 0.875 0.250
5 Te 0.000 0.000 0.000
6 Te 0.250 0.750 0.500
7 Li 0.750 0.250 0.500
8 Li 0.500 0.500 0.000

Properties
**Total magnetic moment**: 0.0 μB per cell
**Formation energy without anion corrections**: 313.8 meV per atom
**Total energy**: -31.64 eV/cell

***

# Li2Te2P

A geometry-optimized Li2Te2P structure (GGA-PBEsol, the Alexandria database).

Unit cell a=3.825 b=7.529 c=7.529 alpha=90.00 beta=90.00 gamma=90.00
Positions (direct):
1 Li 0.500 0.869 0.369
2 Li 0.500 0.631 0.869
3 Li 0.500 0.369 0.131
4 Li 0.500 0.131 0.631
5 P 0.000 0.500 0.500
6 P 0.000 0.000 0.000
7 Te 0.000 0.822 0.678
8 Te 0.000 0.178 0.322
9 Te 0.000 0.322 0.822
10 Te 0.000 0.678 0.178

Properties
**Total magnetic moment**: 0.0 μB per cell
**Formation energy without anion corrections**: -300.4 meV per atom
**Total energy**: -36.56 eV/cell

***

# Li2TePW

A geometry-optimized Li2TePW structure (GGA-PBEsol, the Alexandria database).

Unit cell a=4.993 b=4.984 c=4.984 alpha=90.00 beta=90.00 gamma=90.00
Last column: magnetic moment on the atom in μB.
Positions (direct):
1 Li 0.000 0.500 0.000  0.03
2 Li 0.000 0.000 0.500  0.03
3 W 0.000 0.000 0.000  1.64
4 P 0.500 0.500 0.500  0.21
5 Te 0.500 0.000 0.000  -0.07

Properties
**Total magnetic moment**: 2.7 μB per cell
**Formation energy without anion corrections**: 1349.7 meV per atom
**Total energy**: -20.31 eV/cell

***

# Li3TiP

A geometry-optimized Li3TiP structure (GGA-PBEsol, the Alexandria database).

Unit cell a=4.714 b=4.714 c=4.714 alpha=90.00 beta=90.00 gamma=90.00
Last column: magnetic moment on the atom in μB.
Positions (direct):
1 Li 0.500 0.000 0.000  0.06
2 Li 0.000 0.000 0.500  0.06
3 Li 0.000 0.500 0.000  0.06
4 Ti 0.000 0.000 0.000  2.31
5 P 0.500 0.500 0.500  -0.12

Properties
**Total magnetic moment**: 3.2 μB per cell
**Formation energy from the elements**: 1.200 eV/atom
**Total energy**: -14.01 eV/cell

***

# LiTi3P

A geometry-optimized LiTi3P structure (GGA-PBEsol, the Alexandria database).

Unit cell a=4.562 b=4.562 c=4.562 alpha=90.00 beta=90.00 gamma=90.00
Positions (direct):
1 Ti 0.000 0.500 0.000
2 Ti 0.000 0.000 0.500
3 Ti 0.500 0.000 0.000
4 Li 0.500 0.500 0.500
5 P 0.000 0.000 0.000

Properties
**Total magnetic moment**: 0.0 μB per cell
**Formation energy from the elements**: -0.034 eV/atom
**Total energy**: -32.90 eV/cell

***

# Li2TiP2

A geometry-optimized Li2TiP2 structure (GGA-PBEsol, the Alexandria database).

Unit cell a=4.252 b=4.779 c=4.252 alpha=63.58 beta=90.00 gamma=116.42
Positions (direct):
1 Li 0.638 0.276 0.362
2 Li 0.362 0.724 0.638
3 P 0.250 0.500 0.250
4 P 0.750 0.500 0.750
5 Ti 0.000 0.000 0.000

Properties
**Total magnetic moment**: 0.0 μB per cell
**Formation energy from the elements**: -0.181 eV/atom
**Total energy**: -24.74 eV/cell

***

# Li5TiP3

A geometry-optimized Li5TiP3 structure (GGA-PBEsol, the Alexandria database).

Unit cell a=5.825 b=7.101 c=8.155 alpha=106.70 beta=90.00 gamma=114.22
Positions (direct):
1 Ti 0.233 0.000 0.750
2 Ti 0.767 0.000 0.250
3 Li 0.088 0.658 0.402
4 Li 0.411 0.342 0.574
5 Li 0.931 0.342 0.074
6 Li 0.589 0.658 0.426
7 Li 0.570 0.658 0.902
8 Li 0.728 0.000 0.750
9 Li 0.272 0.000 0.250
10 Li 0.912 0.342 0.598
11 Li 0.069 0.658 0.926
12 Li 0.430 0.342 0.098
13 P 0.311 0.691 0.673
14 P 0.000 0.000 0.500
15 P 0.689 0.309 0.327
16 P 0.379 0.691 0.173
17 P 0.000 0.000 0.000
18 P 0.621 0.309 0.827

Properties
**Total magnetic moment**: 0.0 μB per cell
**Formation energy from the elements**: -0.742 eV/atom
**Total energy**: -84.41 eV/cell

***

# LiTlP

A geometry-optimized LiTlP structure (GGA-PBEsol, the Alexandria database).

Unit cell a=4.578 b=4.578 c=4.578 alpha=60.00 beta=60.00 gamma=60.00
Positions (direct):
1 Li 0.500 0.500 0.500
2 Tl 0.000 0.000 0.000
3 P 0.750 0.750 0.750

Properties
**Total magnetic moment**: 0.0 μB per cell
**Formation energy from the elements**: -0.072 eV/atom
**Total energy**: -10.61 eV/cell

***

# LiTl2P

A geometry-optimized LiTl2P structure (GGA-PBEsol, the Alexandria database).

Unit cell a=4.189 b=4.189 c=6.680 alpha=108.23 beta=90.00 gamma=120.00
Positions (direct):
1 P 0.792 0.585 0.378
2 Tl 0.025 0.051 0.075
3 Tl 0.224 0.448 0.672
4 Li 0.458 0.917 0.375

Properties
**Total magnetic moment**: 0.0 μB per cell
**Formation energy from the elements**: -0.149 eV/atom
**Relative energy among the computed polymorphs**: 0.000 eV per atom
**Total energy**: -13.62 eV/cell